A relaxed LaScZn2 crystal. Source: Alexandria via LeMat-Bulk, functional PBE-GGA.

```
4
Lattice="-3.1254 -3.2124 2.1992 -2.8290 -3.0310 -2.7811 0.9612 -4.8975 -0.1212" Properties=species:S:1:pos:R:3 pbc="T T T"
La -2.4966 -5.5705 -0.3515
Sc -3.7449 -8.3557 -0.5272
Zn 0.0000 0.0000 0.0000
Zn -1.2483 -2.7852 -0.1757
```

Results
Energy relative to the lowest polymorph listed for this composition: 377 meV per atom
DOS(E_F): 5.39 states/eV/f.u.
Energy: -3.39 eV/atom
Formation energy: 0.061 eV per atom